Density functional theory data (GGA+U) for a relaxed CeCrBO5 crystal.

Cell lengths 6.357, 8.486, 6.823 Å; angles 90.00, 111.53, 90.00 degrees
Space group C2/c (No. 15)
Unique sites:
Ce  0.000  0.157  0.250 [4 per cell]
Cr  0.000  0.500  0.000 [4 per cell]
B  0.000  0.185  0.750 [4 per cell]
O  0.000  0.405  0.250 [4 per cell]
O  0.108  0.284  0.633 [8 per cell]
O  0.164  0.074  0.911 [8 per cell]

Computed properties:
* crystal system: monoclinic
* E_tot: -8.196 eV per atom